[1]
The following is a GGA-PBE calculation of crystalline Rb3PuMg2Cl9 at its relaxed geometry, from Alexandria.

## Properties
Space-group type: P-3m1, No. 164
Formation energy from raw total energies: -1861 meV per atom
Calculated total energy: -65.0 eV/f.u.
DOS(E_F): 19.6 states/eV per cell
Mass density: 3.3 g/cm3

Structure (extended XYZ):
```
15
Lattice="7.3900 0.0000 0.0000 -3.6950 6.3999 0.0000 0.0000 0.0000 9.1875" Properties=species:S:1:pos:R:3 pbc="T T T"
Rb 0.0000 0.0000 0.0000
Rb 0.0000 4.2666 6.2857
Rb 3.6950 2.1333 2.9018
Pu 0.0000 0.0000 4.5938
Mg 0.0000 4.2666 1.4279
Mg 3.6950 2.1333 7.7597
Cl -1.8475 3.2000 0.0000
Cl 0.0000 2.2387 2.9095
Cl -1.7563 5.2806 2.9095
Cl 1.9387 1.1193 6.2781
Cl 3.6950 0.0000 0.0000
Cl 1.8475 3.2000 0.0000
Cl 1.7563 5.2806 2.9095
Cl 5.4512 1.1193 6.2781
Cl 3.6950 4.1613 6.2781
```

***

[2]
The following is a GGA-PBE calculation of crystalline PuMgTlCl6 at its relaxed geometry, from Alexandria.

## Properties
Space-group type: P-31c, No. 163
Formation energy from raw total energies: -1699 meV per atom
Calculated total energy: -44.7 eV/f.u.
DOS(E_F): 20.4 states/eV per cell
Mass density: 3.9 g/cm3

Structure (extended XYZ):
```
18
Lattice="6.9347 0.0000 0.0000 -3.4674 6.0057 0.0000 0.0000 0.0000 13.8855" Properties=species:S:1:pos:R:3 pbc="T T T"
Pu 0.0000 4.0038 3.4714
Pu 3.4674 2.0019 10.4141
Mg 0.0000 4.0038 10.4141
Mg 3.4674 2.0019 3.4714
Tl 0.0000 0.0000 0.0000
Tl 0.0000 0.0000 6.9428
Cl -1.1755 2.2936 8.9541
Cl -2.0688 3.8408 11.8742
Cl 1.1755 2.2936 11.8742
Cl -0.8933 5.8769 8.9541
Cl 2.5740 0.1287 2.0113
Cl 1.3985 2.1648 4.9314
Cl 2.0688 3.8408 8.9541
Cl 0.8933 5.8769 11.8742
Cl 4.3607 0.1287 4.9314
Cl 2.2918 3.7121 2.0113
Cl 5.5362 2.1648 2.0113
Cl 4.6429 3.7121 4.9314
```

***

The following magnetic moment values (in μB/f.u.) correspond, in order, to the records above: 6.0; 5.0.